*one*
## Ba3SiO (PBE)

Data for a geometry-optimized Ba3SiO structure.

Cell lengths 5.4216, 5.4216, 5.4216 Å; angles 90.00, 90.00, 90.00 degrees
Fractional positions:
Ba 0.0000 0.0000 0.5000
Ba 0.0000 0.5000 0.0000
Ba 0.5000 0.0000 0.0000
Si 0.5000 0.5000 0.5000
O 0.0000 0.0000 0.0000

## Properties
Spin magnetization, μB/f.u.: 0.00

*two*
## Ba3SiO (PBE)

Data for a geometry-optimized Ba3SiO structure.

Cell lengths 4.7633, 8.1855, 11.9316 Å; angles 60.40, 78.49, 73.08 degrees
Fractional positions:
Si 0.5818 0.3755 0.4610
Si 0.4182 0.6245 0.5390
Ba 0.0135 0.2911 0.6819
Ba 0.7689 0.8030 0.6592
Ba 0.9865 0.7089 0.3181
Ba 0.3465 0.3640 0.9429
Ba 0.6535 0.6360 0.0571
Ba 0.2311 0.1970 0.3408
O 0.2024 0.4764 0.1189
O 0.7976 0.5236 0.8811

## Properties
Spin magnetization, μB/f.u.: 0.00

*three*
## Ba3SiO (PBE)

Data for a geometry-optimized Ba3SiO structure.

Cell lengths 7.5367, 7.8217, 10.8642 Å; angles 90.00, 90.00, 90.00 degrees
Fractional positions:
Ba 0.7038 0.2988 0.4580
Ba 0.7038 0.2988 0.0420
Ba 0.4204 0.9797 0.2500
Ba 0.2962 0.7012 0.5420
Ba 0.2038 0.2012 0.9580
Ba 0.7962 0.7988 0.0420
Ba 0.5796 0.0203 0.7500
Ba 0.2038 0.2012 0.5420
Ba 0.9204 0.5203 0.7500
Ba 0.7962 0.7988 0.4580
Ba 0.2962 0.7012 0.9580
Ba 0.0796 0.4797 0.2500
Si 0.5173 0.5530 0.2500
Si 0.4827 0.4470 0.7500
Si 0.9827 0.0530 0.2500
Si 0.0173 0.9470 0.7500
O 0.5000 0.0000 0.0000
O 0.0000 0.5000 0.0000
O 0.0000 0.5000 0.5000
O 0.5000 0.0000 0.5000

## Properties
Spin magnetization, μB/f.u.: 0.00

Comparing the structures above, *three* comes out on top by 52 meV per atom.